1.
# NiS2NF

A geometry-optimized NiS2NF structure (PBE+U, the Alexandria database).

abc: 4.6647 4.6647 3.3949
angles: 90.00 90.00 90.00
Site moments in Bohr magnetons follow the coordinates.
Element x y z (fractional)
Ni 0.0000 0.0000 0.0000  0.02
N 0.0000 0.0000 0.5000  -0.04
F 0.5000 0.5000 0.5000  0.42
S 0.5000 0.0000 0.0000  0.76
S 0.0000 0.5000 0.0000  0.76

Output
Total magnetization ... 2.68 μB per formula unit
Polymorph energy (0 for the lowest one) ... 0.0 kJ per mole of atoms
V ... 74 Å³ per cell

2.
# NiSbNF2

A geometry-optimized NiSbNF2 structure (PBE+U, the Alexandria database).

abc: 4.3535 4.3535 4.0995
angles: 90.00 90.00 90.00
Site moments in Bohr magnetons follow the coordinates.
Element x y z (fractional)
Ni 0.5000 0.5000 0.5000  0.97
N 0.0000 0.0000 0.5000  0.00
F 0.5000 0.0000 0.0000  0.00
F 0.0000 0.5000 0.0000  0.00
Sb 0.0000 0.0000 0.0000  0.00

Output
Total magnetization ... 1.01 μB per formula unit
Polymorph energy (0 for the lowest one) ... 24.1 kJ per mole of atoms
V ... 78 Å³ per cell